This record from Alexandria describes a geometry-optimized SrFe structure. The functional is PBE-GGA.

- D(E_F): 7.53 states/eV/cell
- DFT total energy: -4.277 eV/atom
- ρ: 3.8 g/cm³

Cell: 6.3973 6.3973 6.1606 Å, 90.00 90.00 90.00°
Positions (direct):
Fe: 0.1180 0.1180 0.5000
Sr: 0.6883 0.3117 0.5000
Fe: 0.8820 0.8820 0.5000
Fe: 0.3820 0.6180 0.0000
Sr: 0.8117 0.8117 0.0000
Sr: 0.1883 0.1883 0.0000
Fe: 0.6180 0.3820 0.0000
Sr: 0.3117 0.6883 0.5000

---

This record from Alexandria describes a geometry-optimized Sr3Fe structure. The functional is PBE-GGA.

- D(E_F): 7.16 states/eV/cell
- DFT total energy: -2.855 eV/atom
- ρ: 3.2 g/cm³

Cell: 4.1201 4.1201 11.4116 Å, 90.00 90.00 120.00°
Positions (direct):
Sr: 0.6667 0.3333 0.8150
Sr: 0.0000 0.0000 0.5000
Sr: 0.6667 0.3333 0.1850
Fe: 0.0000 0.0000 0.0000

---

This record from Alexandria describes a geometry-optimized SrFe structure. The functional is PBE-GGA.

- D(E_F): 3.60 states/eV/cell
- DFT total energy: -4.743 eV/atom
- ρ: 4.1 g/cm³

Cell: 8.5596 8.5596 8.5596 Å, 27.42 27.42 27.42°
Positions (direct):
Sr: 0.4125 0.4125 0.4125
Fe: 0.1667 0.1667 0.1667
Fe: 0.8333 0.8333 0.8333
Sr: 0.5875 0.5875 0.5875